[1]
DFT (PBE-GGA) results for a geometry-optimized DyInGa4Co structure.

Total energy (eV/atom): -4.202
Total magnetization (μB/cell): 0.00

a = 4.324 Å, b = 4.324 Å, c = 6.854 Å
α = 90.00°, β = 90.00°, γ = 90.00°
Atoms (fractional coordinates):
Dy  0.000  0.000  0.000
In  0.500  0.500  0.000
Ga  0.000  0.500  0.314
Ga  0.000  0.500  0.686
Ga  0.500  0.000  0.314
Ga  0.500  0.000  0.686
Co  0.000  0.000  0.500

=====

[2]
DFT (PBE-GGA) results for a geometry-optimized Cs2HfMoS6 structure.

Total energy (eV/atom): -5.610
Total magnetization (μB/cell): 0.00

a = 6.995 Å, b = 6.995 Å, c = 6.995 Å
α = 60.00°, β = 60.00°, γ = 60.00°
Atoms (fractional coordinates):
Cs  0.250  0.250  0.250
Cs  0.750  0.750  0.750
Hf  0.000  0.000  0.000
Mo  0.500  0.500  0.500
S  0.256  0.256  0.744
S  0.256  0.744  0.256
S  0.256  0.744  0.744
S  0.744  0.256  0.256
S  0.744  0.256  0.744
S  0.744  0.744  0.256

=====

[3]
DFT (PBE-GGA) results for a geometry-optimized Er3Mg3Ga2Hg structure.

Total energy (eV/atom): -3.222
Total magnetization (μB/cell): 0.00

a = 7.313 Å, b = 7.313 Å, c = 4.399 Å
α = 90.00°, β = 90.00°, γ = 120.00°
Atoms (fractional coordinates):
Er  0.000  0.573  0.000
Er  0.427  0.427  0.000
Er  0.573  0.000  0.000
Mg  0.000  0.249  0.500
Mg  0.249  0.000  0.500
Mg  0.751  0.751  0.500
Ga  0.333  0.667  0.500
Ga  0.667  0.333  0.500
Hg  0.000  0.000  0.000

=====

[4]
DFT (PBE-GGA) results for a geometry-optimized Tb2ErAl2Cd3In structure.

Total energy (eV/atom): -3.369
Total magnetization (μB/cell): 0.00

a = 4.556 Å, b = 7.314 Å, c = 7.314 Å
α = 119.83°, β = 90.00°, γ = 90.00°
Atoms (fractional coordinates):
Tb  0.000  0.218  0.782
Tb  0.000  0.782  0.218
Er  0.000  0.655  0.655
Al  0.500  0.552  0.884
Al  0.500  0.884  0.552
Cd  0.500  0.219  0.474
Cd  0.500  0.474  0.219
Cd  0.500  0.963  0.963
In  0.000  0.220  0.220

=====

[5]
DFT (PBE-GGA) results for a geometry-optimized Rb2PdCl4 structure.

Total energy (eV/atom): -3.454

a = 4.360 Å, b = 7.299 Å, c = 7.296 Å
α = 90.00°, β = 90.00°, γ = 90.00°
Atoms (fractional coordinates):
Rb  0.000  0.000  0.000
Rb  0.000  0.500  0.500
Pd  0.500  0.000  0.499
Cl  0.500  0.226  0.273
Cl  0.500  0.226  0.725
Cl  0.500  0.774  0.273
Cl  0.500  0.774  0.725

=====

[6]
DFT (PBE-GGA) results for a geometry-optimized NaTmCoSe3 structure.

Total energy (eV/atom): -4.969
Total magnetization (μB/cell): 11.28

a = 10.613 Å, b = 3.948 Å, c = 13.426 Å
α = 90.00°, β = 90.00°, γ = 90.00°
Atoms (fractional coordinates):
Na  0.221  0.250  0.004
Na  0.279  0.750  0.504
Na  0.721  0.250  0.496
Na  0.779  0.750  0.996
Tm  0.017  0.750  0.743
Tm  0.483  0.250  0.243
Tm  0.517  0.750  0.757
Tm  0.983  0.250  0.257
Co  0.235  0.750  0.221
Co  0.265  0.250  0.721
Co  0.735  0.750  0.279
Co  0.765  0.250  0.779
Se  0.052  0.750  0.118
Se  0.092  0.250  0.607
Se  0.237  0.250  0.328
Se  0.263  0.750  0.828
Se  0.408  0.750  0.107
Se  0.448  0.250  0.618
Se  0.552  0.750  0.382
Se  0.592  0.250  0.893
Se  0.737  0.250  0.172
Se  0.763  0.750  0.672
Se  0.908  0.750  0.393
Se  0.948  0.250  0.882

=====

[7]
DFT (PBE-GGA) results for a geometry-optimized CoCuBAs structure.

Total energy (eV/atom): -4.928
Total magnetization (μB/cell): 0.02

a = 3.990 Å, b = 3.990 Å, c = 3.990 Å
α = 60.00°, β = 60.00°, γ = 60.00°
Atoms (fractional coordinates):
Co  0.000  0.000  0.000
Cu  0.500  0.500  0.500
B  0.750  0.750  0.750
As  0.250  0.250  0.250

=====

[8]
DFT (PBE-GGA) results for a geometry-optimized ZrScFe2Si2C structure.

Total energy (eV/atom): -8.057
Total magnetization (μB/cell): 0.00

a = 5.410 Å, b = 5.410 Å, c = 6.425 Å
α = 125.30°, β = 125.30°, γ = 40.59°
Atoms (fractional coordinates):
Zr  0.000  0.000  0.000
Sc  0.123  0.123  0.583
Fe  0.357  0.357  0.195
Fe  0.768  0.768  0.393
Si  0.409  0.409  0.599
Si  0.715  0.715  0.986
C  0.562  0.562  0.292

=====

[9]
DFT (PBE-GGA) results for a geometry-optimized Ag3PSe4 structure.

Total energy (eV/atom): -3.580

a = 7.165 Å, b = 7.165 Å, c = 7.165 Å
α = 130.64°, β = 130.64°, γ = 72.39°
Atoms (fractional coordinates):
Ag  0.000  0.000  0.000
Ag  0.250  0.750  0.500
Ag  0.750  0.250  0.500
P  0.500  0.500  0.000
Se  0.168  0.605  0.000
Se  0.395  0.395  0.563
Se  0.605  0.168  0.000
Se  0.832  0.832  0.437

=====

[10]
DFT (PBE-GGA) results for a geometry-optimized Y2InAg structure.

Total energy (eV/atom): -4.605
Total magnetization (μB/cell): 0.00

a = 5.028 Å, b = 5.028 Å, c = 10.336 Å
α = 90.00°, β = 90.00°, γ = 120.00°
Atoms (fractional coordinates):
Y  0.333  0.667  0.097
Y  0.333  0.667  0.403
Y  0.667  0.333  0.597
Y  0.667  0.333  0.903
In  0.000  0.000  0.000
In  0.000  0.000  0.500
Ag  0.333  0.667  0.750
Ag  0.667  0.333  0.250

=====

[11]
DFT (PBE-GGA) results for a geometry-optimized WC2 structure.

Total energy (eV/atom): -9.214
Total magnetization (μB/cell): 0.00

a = 8.391 Å, b = 8.391 Å, c = 8.391 Å
α = 19.05°, β = 19.05°, γ = 19.05°
Atoms (fractional coordinates):
W  0.094  0.094  0.094
W  0.906  0.906  0.906
C  0.184  0.184  0.184
C  0.324  0.324  0.324
C  0.676  0.676  0.676
C  0.816  0.816  0.816

=====

[12]
DFT (PBE-GGA) results for a geometry-optimized LiScGePd structure.

Total energy (eV/atom): -5.269
Total magnetization (μB/cell): 0.00

a = 4.445 Å, b = 4.445 Å, c = 6.286 Å
α = 90.00°, β = 90.00°, γ = 90.00°
Atoms (fractional coordinates):
Li  0.000  0.000  0.000
Li  0.500  0.500  0.500
Sc  0.000  0.500  0.250
Sc  0.500  0.000  0.750
Ge  0.000  0.500  0.749
Ge  0.500  0.000  0.251
Pd  0.000  0.000  0.500
Pd  0.500  0.500  0.000

=====

[13]
DFT (PBE-GGA) results for a geometry-optimized ScZn2Sn structure.

Total energy (eV/atom): -3.309
Total magnetization (μB/cell): 0.00

a = 4.802 Å, b = 4.802 Å, c = 4.802 Å
α = 60.00°, β = 60.00°, γ = 60.00°
Atoms (fractional coordinates):
Sc  0.000  0.000  0.000
Zn  0.250  0.250  0.250
Zn  0.500  0.500  0.500
Sn  0.750  0.750  0.750

=====

[14]
DFT (PBE-GGA) results for a geometry-optimized GdZrCu6 structure.

Calculated formation energy (meV/atom): -132
Total energy (eV/atom): -4.570
Total magnetization (μB/cell): 0.02

a = 4.456 Å, b = 5.850 Å, c = 4.743 Å
α = 90.00°, β = 90.00°, γ = 90.00°
Atoms (fractional coordinates):
Gd  0.000  0.000  0.000
Zr  0.500  0.500  0.692
Cu  0.000  0.276  0.503
Cu  0.000  0.500  0.032
Cu  0.000  0.724  0.503
Cu  0.500  0.000  0.600
Cu  0.500  0.277  0.194
Cu  0.500  0.723  0.194

=====

[15]
DFT (PBE-GGA) results for a geometry-optimized Ho2ZnGa3Ni2 structure.

Total energy (eV/atom): -4.421
Total magnetization (μB/cell): 0.00

a = 5.340 Å, b = 5.340 Å, c = 6.828 Å
α = 90.53°, β = 90.53°, γ = 44.73°
Atoms (fractional coordinates):
Ho  0.000  0.000  0.000
Ho  0.134  0.134  0.498
Zn  0.420  0.420  0.305
Ga  0.421  0.421  0.695
Ga  0.712  0.712  0.805
Ga  0.718  0.718  0.197
Ni  0.281  0.281  0.996
Ni  0.850  0.850  0.507

=====

[16]
DFT (PBE-GGA) results for a geometry-optimized Na4Si2PdPt structure.

Total energy (eV/atom): -3.467
Total magnetization (μB/cell): 0.00

a = 4.576 Å, b = 4.576 Å, c = 6.454 Å
α = 90.00°, β = 90.00°, γ = 90.00°
Atoms (fractional coordinates):
Na  0.000  0.000  0.000
Na  0.000  0.500  0.745
Na  0.500  0.000  0.255
Na  0.500  0.500  0.500
Si  0.000  0.500  0.239
Si  0.500  0.000  0.761
Pd  0.000  0.000  0.500
Pt  0.500  0.500  0.000

=====

[17]
DFT (PBE-GGA) results for a geometry-optimized Ni3B structure.

Total energy (eV/atom): -6.111
Total magnetization (μB/cell): 0.01

a = 5.202 Å, b = 6.641 Å, c = 4.389 Å
α = 90.00°, β = 90.00°, γ = 90.00°
Atoms (fractional coordinates):
Ni  0.029  0.250  0.134
Ni  0.180  0.063  0.656
Ni  0.180  0.437  0.656
Ni  0.320  0.563  0.156
Ni  0.320  0.937  0.156
Ni  0.471  0.750  0.634
Ni  0.529  0.250  0.366
Ni  0.680  0.063  0.844
Ni  0.680  0.437  0.844
Ni  0.820  0.563  0.344
Ni  0.820  0.937  0.344
Ni  0.971  0.750  0.866
B  0.117  0.750  0.438
B  0.383  0.250  0.938
B  0.617  0.750  0.062
B  0.883  0.250  0.562

=====

[18]
DFT (PBE-GGA) results for a geometry-optimized NbTlNO structure.

Total energy (eV/atom): -7.375
Total magnetization (μB/cell): 0.39

a = 3.434 Å, b = 7.257 Å, c = 6.013 Å
α = 90.00°, β = 90.00°, γ = 90.00°
Atoms (fractional coordinates):
Nb  0.000  0.167  0.000
Nb  0.000  0.833  0.500
Tl  0.500  0.348  0.502
Tl  0.500  0.652  0.002
N  0.500  0.297  0.997
N  0.500  0.703  0.497
O  0.000  0.002  0.252
O  0.000  0.998  0.752

=====

[19]
DFT (PBE-GGA) results for a geometry-optimized RbHfCd structure.

Total energy (eV/atom): -2.674
Total magnetization (μB/cell): 0.89

a = 5.330 Å, b = 5.330 Å, c = 5.330 Å
α = 60.00°, β = 60.00°, γ = 60.00°
Atoms (fractional coordinates):
Rb  0.000  0.000  0.000
Hf  0.500  0.500  0.500
Cd  0.750  0.750  0.750

=====

[20]
DFT (PBE-GGA) results for a geometry-optimized HfTlPd structure.

Total energy (eV/atom): -5.573
Total magnetization (μB/cell): 0.00

a = 4.583 Å, b = 4.583 Å, c = 4.583 Å
α = 60.00°, β = 60.00°, γ = 60.00°
Atoms (fractional coordinates):
Hf  0.000  0.000  0.000
Tl  0.250  0.250  0.250
Pd  0.500  0.500  0.500